w.
5
Lattice="-1.377 -2.863 -2.754 -0.444 -1.694 5.192 -5.287 0.459 -1.043" Properties=species:S:1:pos:R:3 comment="Pu3GeP PBE relaxed" rho_kg_m3=13091 pbc="T T T"
Pu -3.172 -3.237 0.915
Pu -5.663 -0.969 -0.198
Pu -4.923 -1.944 -2.763
P -4.381 -0.908 2.307
Ge -2.424 -1.463 -1.303

***

x.
10
Lattice="-5.154 -0.897 -2.977 -1.170 -5.377 -2.439 -5.208 -4.131 4.178" Properties=species:S:1:pos:R:3 comment="Pu3GeP PBE relaxed" rho_kg_m3=12564 pbc="T T T"
Pu -6.109 -7.362 0.627
Pu -5.423 -3.042 -1.864
Pu -6.003 -5.707 -3.073
Pu -5.529 -4.697 1.836
Pu -8.084 -5.142 0.360
Pu -3.448 -5.263 -1.598
P -9.151 -8.133 0.040
P -2.381 -2.271 -1.277
Ge -3.406 -2.945 0.699
Ge -8.126 -7.460 -1.937

***

Stability summary: most stable w, least stable x.

***

w.
5
Lattice="-0.364 2.862 -4.015 0.022 -4.025 -2.871 -4.931 -0.229 0.284" Properties=species:S:1:pos:R:3 comment="RbGeP3 PBE relaxed" rho_kg_m3=3449 pbc="T T T"
P 0.011 -2.012 -1.436
P -2.465 -0.114 0.142
P -0.182 1.431 -2.008
Rb -2.637 -0.696 -3.301
Ge 0.000 0.000 0.000

***

x.
5
Lattice="5.293 0.000 0.000 0.000 5.293 0.000 0.000 0.000 5.293" Properties=species:S:1:pos:R:3 comment="RbGeP3 PBE relaxed" rho_kg_m3=2810 pbc="T T T"
Rb 0.000 0.000 0.000
P 2.647 0.000 0.000
P 0.000 2.647 0.000
P 0.000 0.000 2.647
Ge 2.647 2.647 2.647

***

Stability summary: most stable w, least stable x.

***

w.
10
Lattice="7.016 0.000 0.000 0.000 7.016 0.000 0.000 0.000 5.792" Properties=species:S:1:pos:R:3 comment="Rb2Ge2P PBE relaxed" rho_kg_m3=4044 pbc="T T T"
Ge 6.108 4.416 0.000
Ge 4.416 0.908 0.000
Ge 0.908 2.600 0.000
Ge 2.600 6.108 0.000
Rb 4.848 5.676 2.896
Rb 2.168 1.340 2.896
Rb 1.340 4.848 2.896
Rb 5.676 2.168 2.896
P 3.508 3.508 0.000
P 0.000 0.000 0.000

***

x.
10
Lattice="-4.459 5.614 3.241 -1.936 -0.079 7.024 4.217 6.615 3.305" Properties=species:S:1:pos:R:3 comment="Rb2Ge2P PBE relaxed" rho_kg_m3=3116 pbc="T T T"
Rb -2.164 9.767 10.059
Rb -2.139 4.159 7.062
Rb -0.015 2.383 3.511
Rb -0.039 7.991 6.508
P -2.011 0.660 5.640
P -4.384 4.876 4.624
Ge 2.298 5.422 2.772
Ge -2.917 4.665 2.650
Ge -2.540 6.808 3.775
Ge 2.675 7.564 3.896

***

Stability summary: most stable x, least stable w.

***

w.
5
Lattice="5.652 0.000 0.000 0.000 5.652 0.000 0.000 0.000 5.486" Properties=species:S:1:pos:R:3 comment="RbGePS2 PBE relaxed" rho_kg_m3=2399 pbc="T T T"
S 2.826 0.000 0.000
S 0.000 2.826 0.000
Rb 0.000 0.000 0.000
Ge 2.826 2.826 2.743
P 0.000 0.000 2.743

***

x.
5
Lattice="-3.500 3.544 -0.754 -2.112 -1.144 4.429 2.806 3.233 2.173" Properties=species:S:1:pos:R:3 comment="RbGePS2 PBE relaxed" rho_kg_m3=3451 pbc="T T T"
S -1.056 -0.572 2.214
S -1.750 1.772 -0.377
Ge 0.000 0.000 0.000
P 1.403 1.617 1.087
Rb -1.403 2.817 2.924

***

Stability summary: most stable x, least stable w.

***

w.
5
Lattice="5.374 0.000 0.000 0.000 5.374 0.000 0.000 0.000 5.465" Properties=species:S:1:pos:R:3 comment="RbGeP2S PBE relaxed" rho_kg_m3=2653 pbc="T T T"
P 2.687 0.000 0.000
P 0.000 2.687 0.000
Rb 0.000 0.000 0.000
Ge 2.687 2.687 2.733
S 0.000 0.000 2.733

***

x.
5
Lattice="-1.776 -2.521 -3.807 1.859 -4.131 1.867 -4.382 -0.807 2.578" Properties=species:S:1:pos:R:3 comment="RbGeP2S PBE relaxed" rho_kg_m3=3388 pbc="T T T"
S -2.191 -0.403 1.289
P 0.929 -2.065 0.934
P -0.888 -1.260 -1.904
Ge 0.000 0.000 0.000
Rb -2.150 -3.729 0.319

***

Stability summary: most stable x, least stable w.

***

w.
5
Lattice="-2.896 -2.236 2.530 3.371 -2.108 1.996 0.432 1.029 5.316" Properties=species:S:1:pos:R:3 comment="Re2Ge2P PBE relaxed" rho_kg_m3=10398 pbc="T T T"
P 0.000 0.000 0.000
Re 2.020 -1.625 4.787
Re -1.114 -1.689 5.054
Ge 0.618 -1.980 6.780
Ge 0.288 -1.335 3.061

***

x.
10
Lattice="-3.069 -4.067 5.322 1.609 -6.131 -3.757 2.560 -0.158 1.355" Properties=species:S:1:pos:R:3 comment="Re2Ge2P PBE relaxed" rho_kg_m3=11571 pbc="T T T"
Ge -1.745 -3.501 2.887
Ge -1.592 -7.430 2.137
Ge 0.285 -6.697 -1.321
Ge 0.131 -2.768 -0.572
Re 1.862 -4.696 -0.963
Re 0.457 -2.427 1.957
Re -0.763 -5.660 3.883
Re 0.642 -7.930 0.963
P -0.730 -5.099 0.783
P 0.000 0.000 0.000

***

Stability summary: most stable x, least stable w.